# CsReSb2Br | the Alexandria database | PBE-GGA | optimized geometry
# crystal system = tetragonal
# space-group type = No. 123
# formation energy from raw total energies = 0.076 eV per atom
data_CsReSb2Br
_chemical_formula_sum 'Cs1 Re1 Sb2 Br1'
_symmetry_space_group_name_H-M 'P 1'
_symmetry_Int_Tables_number 1
_cell_length_a 5.1464
_cell_length_b 5.1464
_cell_length_c 6.2291
_cell_angle_alpha 90.00
_cell_angle_beta 90.00
_cell_angle_gamma 90.00
loop_
_symmetry_equiv_pos_as_xyz
'x,y,z'
loop_
_atom_site_label
_atom_site_fract_x
_atom_site_fract_y
_atom_site_fract_z
Cs1 0.0000 0.0000 0.0000
Re1 0.5000 0.5000 0.5000
Sb1 0.0000 0.5000 0.5000
Sb2 0.5000 0.0000 0.5000
Br1 0.5000 0.5000 0.0000

***

# Cs2ScReBr6 | the Alexandria database | PBE-GGA | optimized geometry
# crystal system = cubic
# space-group type = No. 225
# formation energy from raw total energies = -0.946 eV per atom
data_Cs2ScReBr6
_chemical_formula_sum 'Cs2 Sc1 Re1 Br6'
_symmetry_space_group_name_H-M 'P 1'
_symmetry_Int_Tables_number 1
_cell_length_a 7.5375
_cell_length_b 7.5375
_cell_length_c 7.5375
_cell_angle_alpha 60.00
_cell_angle_beta 60.00
_cell_angle_gamma 60.00
loop_
_symmetry_equiv_pos_as_xyz
'x,y,z'
loop_
_atom_site_label
_atom_site_fract_x
_atom_site_fract_y
_atom_site_fract_z
Cs1 0.2500 0.2500 0.2500
Cs2 0.7500 0.7500 0.7500
Sc1 0.0000 0.0000 0.0000
Re1 0.5000 0.5000 0.5000
Br1 0.2548 0.2548 0.7452
Br2 0.2548 0.7452 0.2548
Br3 0.2548 0.7452 0.7452
Br4 0.7452 0.2548 0.2548
Br5 0.7452 0.2548 0.7452
Br6 0.7452 0.7452 0.2548

***

# CsReSe2Br | the Alexandria database | PBE-GGA | optimized geometry
# crystal system = tetragonal
# space-group type = No. 123
# energy above the lowest structure with this stoichiometry = 0.00 eV/f.u.
# formation energy from raw total energies = -0.289 eV per atom
data_CsReSe2Br
_chemical_formula_sum 'Cs1 Re1 Se2 Br1'
_symmetry_space_group_name_H-M 'P 1'
_symmetry_Int_Tables_number 1
_cell_length_a 4.9088
_cell_length_b 4.9088
_cell_length_c 5.7365
_cell_angle_alpha 90.00
_cell_angle_beta 90.00
_cell_angle_gamma 90.00
loop_
_symmetry_equiv_pos_as_xyz
'x,y,z'
loop_
_atom_site_label
_atom_site_fract_x
_atom_site_fract_y
_atom_site_fract_z
Cs1 0.0000 0.0000 0.0000
Re1 0.5000 0.5000 0.5000
Se1 0.0000 0.5000 0.5000
Se2 0.5000 0.0000 0.5000
Br1 0.5000 0.5000 0.0000

***

# CsReSe2Br | the Alexandria database | PBE-GGA | optimized geometry
# crystal system = tetragonal
# space-group type = No. 123
# energy above the lowest structure with this stoichiometry = 10.25 eV/f.u.
# formation energy from raw total energies = 1.760 eV per atom
data_CsReSe2Br
_chemical_formula_sum 'Cs1 Re1 Se2 Br1'
_symmetry_space_group_name_H-M 'P 1'
_symmetry_Int_Tables_number 1
_cell_length_a 5.7433
_cell_length_b 5.7433
_cell_length_c 6.5586
_cell_angle_alpha 90.00
_cell_angle_beta 90.00
_cell_angle_gamma 90.00
loop_
_symmetry_equiv_pos_as_xyz
'x,y,z'
loop_
_atom_site_label
_atom_site_fract_x
_atom_site_fract_y
_atom_site_fract_z
Cs1 0.0000 0.0000 0.0000
Re1 0.5000 0.5000 0.5000
Se1 0.0000 0.5000 0.0000
Se2 0.5000 0.0000 0.0000
Br1 0.0000 0.0000 0.5000